[1]
Below is SrTl3Os2O9 after structural relaxation, with properties calculated at the GGA-PBE level.

Calculated values
The symmetry is P-3m1, No. 164. The density of states at the Fermi level comes out at 7.65 states/eV per cell. Its raw total energy is -93.33 eV per cell. The value obtained for the raw formation energy is -1164 meV/atom. The magnetization comes out at 0.000 Bohr magnetons per cell.

Cell lengths 5.862, 5.862, 7.560 Å; angles 90.00, 90.00, 120.00 degrees
Fractional positions:
O 0.182 0.365 0.286
O 0.500 0.000 0.000
O 0.000 0.500 0.000
O 0.500 0.500 0.000
O 0.635 0.818 0.286
O 0.182 0.818 0.286
O 0.818 0.182 0.714
O 0.365 0.182 0.714
O 0.818 0.635 0.714
Tl 0.000 0.000 0.000
Tl 0.667 0.333 0.325
Tl 0.333 0.667 0.675
Os 0.333 0.667 0.148
Os 0.667 0.333 0.852
Sr 0.000 0.000 0.500

***

[2]
Below is Nd3B2AsRh9 after structural relaxation, with properties calculated at the GGA-PBE level.

Calculated values
The symmetry is P-3m1, No. 164. The density of states at the Fermi level comes out at 9.71 states/eV per cell. Its raw total energy is -108.41 eV per cell. The magnetization comes out at 0.000 Bohr magnetons per cell. Its formation energy is -662 meV per atom.

Cell lengths 6.175, 6.175, 7.587 Å; angles 90.00, 90.00, 120.00 degrees
Fractional positions:
Nd 0.667 0.333 0.332
Nd 0.000 0.000 0.000
Nd 0.333 0.667 0.668
As 0.000 0.000 0.500
Rh 0.644 0.822 0.317
Rh 0.822 0.178 0.683
Rh 0.822 0.644 0.683
Rh 0.178 0.822 0.317
Rh 0.500 0.500 0.000
Rh 0.000 0.500 0.000
Rh 0.356 0.178 0.683
Rh 0.500 0.000 0.000
Rh 0.178 0.356 0.317
B 0.333 0.667 0.145
B 0.667 0.333 0.855

***

[3]
Below is Sn2BAs after structural relaxation, with properties calculated at the GGA-PBE level.

Calculated values
The symmetry is Fm-3m, No. 225. The density of states at the Fermi level comes out at 3.02 states/eV per cell. Its raw total energy is -15.67 eV per cell. For the polymorph energy (0 for the lowest one), the calculation gives 743 meV per atom. The magnetization comes out at 0.000 Bohr magnetons per cell. Its formation energy is 915 meV per atom.

Cell lengths 4.864, 4.864, 4.864 Å; angles 60.00, 60.00, 60.00 degrees
Fractional positions:
As 0.500 0.500 0.500
Sn 0.750 0.750 0.750
Sn 0.250 0.250 0.250
B 0.000 0.000 0.000